Record 1
! NaTmSbSe3 PBE relaxed; values from VASP
&SYSTEM
  ibrav = 0, nat = 12, ntyp = 4
/
ATOMIC_SPECIES
Se 78.96 Se.upf
Na 22.99 Na.upf
Sb 121.76 Sb.upf
Tm 168.93 Tm.upf
CELL_PARAMETERS angstrom
-4.342 -1.460 6.055
1.691 -1.330 -7.282
7.057 -8.075 3.113
ATOMIC_POSITIONS crystal
Se 0.364 0.636 0.969
Se 0.636 0.364 0.031
Se 0.100 0.900 0.750
Se 0.900 0.100 0.250
Se 0.364 0.636 0.531
Se 0.636 0.364 0.469
Na 0.750 0.250 0.750
Na 0.250 0.750 0.250
Sb 0.549 0.451 0.250
Sb 0.451 0.549 0.750
Tm 0.000 0.000 0.000
Tm 0.000 0.000 0.500
! **Crystal system**: orthorhombic
! **Energy**: -50.68 eV for the cell shown

---

Record 2
! NaSmSbTe3 PBE relaxed; values from VASP
&SYSTEM
  ibrav = 0, nat = 12, ntyp = 4
/
ATOMIC_SPECIES
Sb 121.76 Sb.upf
Sm 150.36 Sm.upf
Te 127.60 Te.upf
Na 22.99 Na.upf
CELL_PARAMETERS angstrom
-7.932 -0.401 -1.826
6.307 -2.916 4.257
-2.220 7.024 8.099
ATOMIC_POSITIONS crystal
Sb 0.025 0.975 0.750
Sb 0.975 0.025 0.250
Sm 0.500 0.500 0.000
Sm 0.500 0.500 0.500
Te 0.375 0.625 0.750
Te 0.144 0.856 0.541
Te 0.625 0.375 0.250
Te 0.856 0.144 0.459
Te 0.144 0.856 0.959
Te 0.856 0.144 0.041
Na 0.278 0.722 0.250
Na 0.722 0.278 0.750
! **Crystal system**: orthorhombic
! **Energy**: -47.11 eV for the cell shown

---

Record 3
! NaTaSb PBE relaxed; values from VASP
&SYSTEM
  ibrav = 0, nat = 3, ntyp = 3
/
ATOMIC_SPECIES
Ta 180.95 Ta.upf
Na 22.99 Na.upf
Sb 121.76 Sb.upf
CELL_PARAMETERS angstrom
0.000 3.362 3.362
3.362 0.000 3.362
3.362 3.362 0.000
ATOMIC_POSITIONS crystal
Ta 0.500 0.500 0.500
Na 0.000 0.000 0.000
Sb 0.250 0.250 0.250
! **Crystal system**: cubic
! **Distance to the lowest polymorph of the same formula**: 0 meV per atom

---

Record 4
! NaTaTcSb PBE relaxed; values from VASP
&SYSTEM
  ibrav = 0, nat = 4, ntyp = 4
/
ATOMIC_SPECIES
Ta 180.95 Ta.upf
Na 22.99 Na.upf
Sb 121.76 Sb.upf
Tc 98.00 Tc.upf
CELL_PARAMETERS angstrom
1.036 2.201 3.990
-1.935 4.146 0.952
-3.214 0.359 3.373
ATOMIC_POSITIONS crystal
Ta 0.250 0.250 0.250
Na 0.750 0.750 0.750
Sb 0.000 0.000 0.000
Tc 0.500 0.500 0.500
! **Crystal system**: cubic
! **Distance to the lowest polymorph of the same formula**: 210 meV per atom

---

Record 5
! NaTaTcSb PBE relaxed; values from VASP
&SYSTEM
  ibrav = 0, nat = 4, ntyp = 4
/
ATOMIC_SPECIES
Na 22.99 Na.upf
Tc 98.00 Tc.upf
Ta 180.95 Ta.upf
Sb 121.76 Sb.upf
CELL_PARAMETERS angstrom
0.000 3.265 3.265
3.265 0.000 3.265
3.265 3.265 0.000
ATOMIC_POSITIONS crystal
Na 0.750 0.750 0.750
Tc 0.250 0.250 0.250
Ta 0.000 0.000 0.000
Sb 0.500 0.500 0.500
! **Crystal system**: cubic
! **Distance to the lowest polymorph of the same formula**: 0 meV per atom

---

Record 6
! NaTbSbTe3 PBE relaxed; values from VASP
&SYSTEM
  ibrav = 0, nat = 12, ntyp = 4
/
ATOMIC_SPECIES
Na 22.99 Na.upf
Te 127.60 Te.upf
Sb 121.76 Sb.upf
Tb 158.93 Tb.upf
CELL_PARAMETERS angstrom
2.181 -7.825 0.000
2.181 7.825 0.000
0.000 0.000 11.010
ATOMIC_POSITIONS crystal
Na 0.723 0.277 0.250
Na 0.277 0.723 0.750
Te 0.142 0.858 0.461
Te 0.858 0.142 0.539
Te 0.142 0.858 0.039
Te 0.378 0.622 0.250
Te 0.858 0.142 0.961
Te 0.622 0.378 0.750
Sb 0.973 0.027 0.750
Sb 0.027 0.973 0.250
Tb 0.500 0.500 0.000
Tb 0.500 0.500 0.500
! **Crystal system**: orthorhombic
! **Energy**: -46.71 eV for the cell shown

---

Record 7
! Na3Th3Sb2 PBE relaxed; values from VASP
&SYSTEM
  ibrav = 0, nat = 8, ntyp = 3
/
ATOMIC_SPECIES
Na 22.99 Na.upf
Sb 121.76 Sb.upf
Th 232.04 Th.upf
CELL_PARAMETERS angstrom
0.851 -8.656 0.182
1.717 -6.258 -5.794
6.430 -5.701 -1.356
ATOMIC_POSITIONS crystal
Na 0.091 0.091 0.091
Na 0.500 0.500 0.500
Na 0.909 0.909 0.909
Sb 0.777 0.777 0.777
Sb 0.223 0.223 0.223
Th 0.500 0.500 0.000
Th 0.500 0.000 0.500
Th 0.000 0.500 0.500
! **Crystal system**: trigonal
! **Energy**: -33.74 eV for the cell shown

---

Record 8
! NaUSb PBE relaxed; values from VASP
&SYSTEM
  ibrav = 0, nat = 3, ntyp = 3
/
ATOMIC_SPECIES
Sb 121.76 Sb.upf
U 238.03 U.upf
Na 22.99 Na.upf
CELL_PARAMETERS angstrom
-0.302 -3.662 1.443
2.246 1.028 3.079
-4.730 1.547 2.935
ATOMIC_POSITIONS crystal
Sb 0.500 0.500 0.000
U 0.000 0.000 0.500
Na 0.000 0.000 0.000
! **Crystal system**: tetragonal
! **Energy**: -13.15 eV for the cell shown

---

Record 9
! NaSb5W3 PBE relaxed; values from VASP
&SYSTEM
  ibrav = 0, nat = 9, ntyp = 3
/
ATOMIC_SPECIES
Sb 121.76 Sb.upf
W 183.84 W.upf
Na 22.99 Na.upf
CELL_PARAMETERS angstrom
-4.434 2.589 2.238
-0.390 -2.339 -5.074
-2.535 -7.499 3.652
ATOMIC_POSITIONS crystal
Sb 0.000 0.000 0.500
Sb 0.333 0.667 0.227
Sb 0.667 0.333 0.227
Sb 0.667 0.333 0.773
Sb 0.333 0.667 0.773
W 0.000 0.500 0.500
W 0.500 0.000 0.500
W 0.500 0.500 0.500
Na 0.000 0.000 0.000
! **Crystal system**: hexagonal
! **Energy**: -58.74 eV for the cell shown

---

Record 10
! NaSbW PBE relaxed; values from VASP
&SYSTEM
  ibrav = 0, nat = 3, ntyp = 3
/
ATOMIC_SPECIES
Na 22.99 Na.upf
W 183.84 W.upf
Sb 121.76 Sb.upf
CELL_PARAMETERS angstrom
0.000 3.267 3.267
3.267 0.000 3.267
3.267 3.267 0.000
ATOMIC_POSITIONS crystal
Na 0.750 0.750 0.750
W 0.250 0.250 0.250
Sb 0.000 0.000 0.000
! **Crystal system**: cubic
! **Distance to the lowest polymorph of the same formula**: 0 meV per atom

---

Record 11
! NaZn2Sb2 PBE relaxed; values from VASP
&SYSTEM
  ibrav = 0, nat = 5, ntyp = 3
/
ATOMIC_SPECIES
Zn 65.41 Zn.upf
Sb 121.76 Sb.upf
Na 22.99 Na.upf
CELL_PARAMETERS angstrom
6.896 -1.711 2.393
3.668 1.464 6.373
-6.331 -2.438 -3.191
ATOMIC_POSITIONS crystal
Zn 0.750 0.250 0.500
Zn 0.250 0.750 0.500
Sb 0.376 0.376 0.000
Sb 0.624 0.624 0.000
Na 0.000 0.000 0.000
! **Crystal system**: tetragonal
! **Energy**: -12.79 eV for the cell shown

---

Record 12
! NaZn4Sb3 PBE relaxed; values from VASP
&SYSTEM
  ibrav = 0, nat = 16, ntyp = 3
/
ATOMIC_SPECIES
Na 22.99 Na.upf
Zn 65.41 Zn.upf
Sb 121.76 Sb.upf
CELL_PARAMETERS angstrom
-4.216 -0.958 1.110
3.164 -3.131 0.339
4.265 6.688 21.971
ATOMIC_POSITIONS crystal
Na 0.000 0.000 0.500
Na 0.000 0.000 0.000
Zn 0.333 0.667 0.303
Zn 0.333 0.667 0.616
Zn 0.333 0.667 0.197
Zn 0.667 0.333 0.697
Zn 0.667 0.333 0.803
Zn 0.667 0.333 0.384
Zn 0.333 0.667 0.884
Zn 0.667 0.333 0.116
Sb 0.333 0.667 0.750
Sb 0.333 0.667 0.085
Sb 0.667 0.333 0.585
Sb 0.667 0.333 0.250
Sb 0.667 0.333 0.915
Sb 0.333 0.667 0.415
! **Crystal system**: hexagonal
! **Energy**: -39.45 eV for the cell shown

---

Record 13
! NaZr3Sb5 PBE relaxed; values from VASP
&SYSTEM
  ibrav = 0, nat = 9, ntyp = 3
/
ATOMIC_SPECIES
Zr 91.22 Zr.upf
Sb 121.76 Sb.upf
Na 22.99 Na.upf
CELL_PARAMETERS angstrom
-2.291 -4.488 -3.863
6.274 0.713 0.670
-0.053 -4.776 5.581
ATOMIC_POSITIONS crystal
Zr 0.500 0.000 0.500
Zr 0.500 0.500 0.500
Zr 0.000 0.500 0.500
Sb 0.000 0.000 0.500
Sb 0.667 0.333 0.805
Sb 0.667 0.333 0.195
Sb 0.333 0.667 0.805
Sb 0.333 0.667 0.195
Na 0.000 0.000 0.000
! **Crystal system**: hexagonal
! **Energy**: -50.60 eV for the cell shown

---

Record 14
! NaScZnSe3 PBE relaxed; values from VASP
&SYSTEM
  ibrav = 0, nat = 24, ntyp = 4
/
ATOMIC_SPECIES
Se 78.96 Se.upf
Na 22.99 Na.upf
Zn 65.41 Zn.upf
Sc 44.96 Sc.upf
CELL_PARAMETERS angstrom
-1.119 -3.350 -1.694
9.693 -1.245 -3.936
3.647 -6.858 11.151
ATOMIC_POSITIONS crystal
Se 0.750 0.736 0.832
Se 0.250 0.423 0.886
Se 0.750 0.236 0.668
Se 0.250 0.043 0.877
Se 0.750 0.957 0.123
Se 0.750 0.077 0.386
Se 0.750 0.457 0.377
Se 0.250 0.764 0.332
Se 0.750 0.577 0.114
Se 0.250 0.923 0.614
Se 0.250 0.543 0.623
Se 0.250 0.264 0.168
Na 0.750 0.219 0.993
Na 0.250 0.281 0.493
Na 0.750 0.720 0.507
Na 0.250 0.780 0.007
Zn 0.750 0.762 0.220
Zn 0.250 0.738 0.720
Zn 0.750 0.262 0.280
Zn 0.250 0.238 0.780
Sc 0.250 0.014 0.257
Sc 0.750 0.986 0.743
Sc 0.750 0.486 0.757
Sc 0.250 0.514 0.243
! **Crystal system**: orthorhombic
! **Energy**: -107.06 eV for the cell shown

---

Record 15
! NaScZnSe3 PBE relaxed; values from VASP
&SYSTEM
  ibrav = 0, nat = 12, ntyp = 4
/
ATOMIC_SPECIES
Zn 65.41 Zn.upf
Na 22.99 Na.upf
Se 78.96 Se.upf
Sc 44.96 Sc.upf
CELL_PARAMETERS angstrom
-2.567 -1.015 -6.561
2.447 -2.857 6.044
-9.751 -0.212 3.847
ATOMIC_POSITIONS crystal
Zn 0.468 0.532 0.750
Zn 0.532 0.468 0.250
Na 0.757 0.243 0.750
Na 0.243 0.757 0.250
Se 0.920 0.080 0.250
Se 0.368 0.632 0.559
Se 0.368 0.632 0.941
Se 0.632 0.368 0.059
Se 0.080 0.920 0.750
Se 0.632 0.368 0.441
Sc 0.000 0.000 0.000
Sc 0.000 0.000 0.500
! **Crystal system**: orthorhombic
! **Energy**: -53.54 eV for the cell shown

---

Record 16
! NaScZnSe3 PBE relaxed; values from VASP
&SYSTEM
  ibrav = 0, nat = 12, ntyp = 4
/
ATOMIC_SPECIES
Se 78.96 Se.upf
Sc 44.96 Sc.upf
Zn 65.41 Zn.upf
Na 22.99 Na.upf
CELL_PARAMETERS angstrom
-3.408 5.813 4.554
-0.356 -2.559 3.000
9.593 0.431 1.505
ATOMIC_POSITIONS crystal
Se 0.406 0.750 0.145
Se 0.055 0.250 0.853
Se 0.594 0.250 0.855
Se 0.945 0.750 0.147
Se 0.738 0.750 0.546
Se 0.262 0.250 0.454
Sc 0.830 0.750 0.857
Sc 0.170 0.250 0.143
Zn 0.417 0.750 0.398
Zn 0.583 0.250 0.602
Na 0.694 0.250 0.191
Na 0.306 0.750 0.809
! **Crystal system**: monoclinic
! **Energy**: -53.54 eV for the cell shown

---

Record 17
! NaSmSc PBE relaxed; values from VASP
&SYSTEM
  ibrav = 0, nat = 3, ntyp = 3
/
ATOMIC_SPECIES
Sm 150.36 Sm.upf
Na 22.99 Na.upf
Sc 44.96 Sc.upf
CELL_PARAMETERS angstrom
4.740 -2.258 0.873
1.277 -1.706 4.877
0.319 -5.219 0.995
ATOMIC_POSITIONS crystal
Sm 0.000 0.000 0.000
Na 0.250 0.250 0.250
Sc 0.750 0.750 0.750
! **Crystal system**: cubic
! **Distance to the lowest polymorph of the same formula**: 200 meV per atom

---

Record 18
! NaSmSc PBE relaxed; values from VASP
&SYSTEM
  ibrav = 0, nat = 3, ntyp = 3
/
ATOMIC_SPECIES
Sc 44.96 Sc.upf
Sm 150.36 Sm.upf
Na 22.99 Na.upf
CELL_PARAMETERS angstrom
0.000 3.675 3.675
3.675 0.000 3.675
3.675 3.675 0.000
ATOMIC_POSITIONS crystal
Sc 0.250 0.250 0.250
Sm 0.750 0.750 0.750
Na 0.000 0.000 0.000
! **Crystal system**: cubic
! **Distance to the lowest polymorph of the same formula**: 0 meV per atom

---

Record 19
! NaScTa PBE relaxed; values from VASP
&SYSTEM
  ibrav = 0, nat = 3, ntyp = 3
/
ATOMIC_SPECIES
Na 22.99 Na.upf
Ta 180.95 Ta.upf
Sc 44.96 Sc.upf
CELL_PARAMETERS angstrom
0.859 3.322 3.561
-2.968 0.215 3.949
1.653 -1.483 4.418
ATOMIC_POSITIONS crystal
Na 0.250 0.250 0.250
Ta 0.000 0.000 0.000
Sc 0.750 0.750 0.750
! **Crystal system**: cubic
! **Distance to the lowest polymorph of the same formula**: 0 meV per atom

---

Record 20
! NaTbSc PBE relaxed; values from VASP
&SYSTEM
  ibrav = 0, nat = 3, ntyp = 3
/
ATOMIC_SPECIES
Na 22.99 Na.upf
Sc 44.96 Sc.upf
Tb 158.93 Tb.upf
CELL_PARAMETERS angstrom
0.000 3.648 3.648
3.648 0.000 3.648
3.648 3.648 0.000
ATOMIC_POSITIONS crystal
Na 0.000 0.000 0.000
Sc 0.250 0.250 0.250
Tb 0.750 0.750 0.750
! **Crystal system**: cubic
! **Distance to the lowest polymorph of the same formula**: 0 meV per atom

---

Record 21
! NaTbSc2 PBE relaxed; values from VASP
&SYSTEM
  ibrav = 0, nat = 4, ntyp = 3
/
ATOMIC_SPECIES
Na 22.99 Na.upf
Sc 44.96 Sc.upf
Tb 158.93 Tb.upf
CELL_PARAMETERS angstrom
4.345 0.000 0.000
0.000 4.345 0.000
0.000 0.000 6.031
ATOMIC_POSITIONS crystal
Na 0.500 0.500 0.000
Sc 0.500 0.500 0.500
Sc 0.000 0.000 0.000
Tb 0.000 0.000 0.500
! **Crystal system**: tetragonal
! **Energy**: -15.46 eV for the cell shown

---

Record 22
! NaScTc PBE relaxed; values from VASP
&SYSTEM
  ibrav = 0, nat = 3, ntyp = 3
/
ATOMIC_SPECIES
Na 22.99 Na.upf
Tc 98.00 Tc.upf
Sc 44.96 Sc.upf
CELL_PARAMETERS angstrom
0.000 3.276 3.276
3.276 0.000 3.276
3.276 3.276 0.000
ATOMIC_POSITIONS crystal
Na 0.250 0.250 0.250
Tc 0.000 0.000 0.000
Sc 0.750 0.750 0.750
! **Crystal system**: cubic
! **Distance to the lowest polymorph of the same formula**: 0 meV per atom

---

Record 23
! NaScZnTe3 PBE relaxed; values from VASP
&SYSTEM
  ibrav = 0, nat = 12, ntyp = 4
/
ATOMIC_SPECIES
Zn 65.41 Zn.upf
Te 127.60 Te.upf
Na 22.99 Na.upf
Sc 44.96 Sc.upf
CELL_PARAMETERS angstrom
8.632 0.000 0.000
0.000 4.198 0.000
-2.796 0.000 9.736
ATOMIC_POSITIONS crystal
Zn 0.417 0.750 0.898
Zn 0.583 0.250 0.102
Te 0.591 0.250 0.363
Te 0.744 0.750 0.037
Te 0.938 0.750 0.655
Te 0.409 0.750 0.637
Te 0.062 0.250 0.345
Te 0.256 0.250 0.963
Na 0.294 0.750 0.252
Na 0.706 0.250 0.748
Sc 0.830 0.750 0.356
Sc 0.170 0.250 0.644
! **Crystal system**: monoclinic
! **Distance to the lowest polymorph of the same formula**: 4 meV per atom

---

Record 24
! NaScZnTe3 PBE relaxed; values from VASP
&SYSTEM
  ibrav = 0, nat = 24, ntyp = 4
/
ATOMIC_SPECIES
Na 22.99 Na.upf
Te 127.60 Te.upf
Sc 44.96 Sc.upf
Zn 65.41 Zn.upf
CELL_PARAMETERS angstrom
-2.884 -0.318 3.026
-5.251 -8.014 -5.848
8.065 -10.117 6.623
ATOMIC_POSITIONS crystal
Na 0.750 0.727 0.514
Na 0.250 0.773 0.014
Na 0.250 0.273 0.486
Na 0.750 0.227 0.986
Te 0.250 0.428 0.889
Te 0.750 0.958 0.119
Te 0.750 0.458 0.381
Te 0.250 0.263 0.166
Te 0.250 0.042 0.881
Te 0.750 0.237 0.666
Te 0.750 0.737 0.834
Te 0.750 0.572 0.111
Te 0.750 0.072 0.389
Te 0.250 0.763 0.334
Te 0.250 0.542 0.619
Te 0.250 0.928 0.611
Sc 0.250 0.015 0.255
Sc 0.250 0.515 0.245
Sc 0.750 0.985 0.745
Sc 0.750 0.485 0.755
Zn 0.250 0.739 0.719
Zn 0.750 0.761 0.219
Zn 0.750 0.261 0.281
Zn 0.250 0.239 0.781
! **Crystal system**: orthorhombic
! **Distance to the lowest polymorph of the same formula**: 1 meV per atom